Computed, not measured: crystalline ScPaZnIr at its relaxed geometry at the GGA-PBE level of DFT.

Results
Energy of formation from the pure elements: -0.416 eV per atom

Cell lengths 6.8291, 6.8291, 6.8291 Å; angles 90.00, 90.00, 90.00 degrees
Space group F-43m (No. 216)
Inequivalent atoms, fractional coordinates:
Sc  0.0000  0.0000  0.0000 x4
Pa  0.0000  0.0000  0.5000 x4
Zn  0.2500  0.2500  0.7500 x4
Ir  0.2500  0.2500  0.2500 x4

Computed, not measured: crystalline Pa3IrSe2 at its relaxed geometry at the GGA-PBE level of DFT.

Results
Formation energy without anion corrections: -1060 meV/atom

Cell lengths 4.0179, 4.0179, 17.6161 Å; angles 90.00, 90.00, 90.00 degrees
Space group I4/mmm (No. 139)
Inequivalent atoms, fractional coordinates:
Pa  0.0000  0.0000  0.0000 x2
Pa  0.0000  0.0000  0.3366 x4
Ir  0.0000  0.0000  0.5000 x2
Se  0.0000  0.0000  0.1694 x4

Computed, not measured: crystalline Pa5IrSe4 at its relaxed geometry at the GGA-PBE level of DFT.

Results
Formation energy without anion corrections: -1128 meV/atom

Cell lengths 9.1265, 9.1265, 5.7526 Å; angles 90.00, 90.00, 90.00 degrees
Space group I4/m (No. 87)
Inequivalent atoms, fractional coordinates:
Pa  0.0000  0.0000  0.0000 x2
Pa  0.1001  0.7133  0.5000 x8
Ir  0.0000  0.0000  0.5000 x2
Se  0.0941  0.6950  0.0000 x8

Computed, not measured: crystalline Pa4IrSe5 at its relaxed geometry at the GGA-PBE level of DFT.

Results
Formation energy without anion corrections: -1185 meV/atom

Cell lengths 17.8674, 4.0282, 8.1890 Å; angles 90.00, 104.75, 90.00 degrees
Space group C2/m (No. 12)
Inequivalent atoms, fractional coordinates:
Pa  0.0008  0.0000  0.2647 x4
Pa  0.1642  0.5000  0.5998 x4
Ir  0.0000  0.5000  0.5000 x2
Se  0.0000  0.5000  0.0000 x2
Se  0.1654  0.0000  0.8430 x4
Se  0.1696  0.0000  0.3452 x4

Computed, not measured: crystalline Pa4IrSe3 at its relaxed geometry at the GGA-PBE level of DFT.

Results
Formation energy without anion corrections: -1108 meV/atom

Cell lengths 8.4340, 11.6422, 3.9132 Å; angles 90.00, 90.00, 90.00 degrees
Space group Cmmm (No. 65)
Inequivalent atoms, fractional coordinates:
Pa  0.0000  0.2460  0.0000 x4
Pa  0.2320  0.0000  0.5000 x4
Ir  0.0000  0.0000  0.0000 x2
Se  0.0000  0.5000  0.0000 x2
Se  0.2500  0.2500  0.5000 x4

Computed, not measured: crystalline Pa6IrSe12 at its relaxed geometry at the GGA-PBE level of DFT.

Results
Formation energy without anion corrections: -1120 meV/atom

Cell lengths 12.5401, 12.5401, 11.1685 Å; angles 90.00, 90.00, 120.00 degrees
Space group R-3 (No. 148, hexagonal axes)
Inequivalent atoms, fractional coordinates:
Pa  0.0518  0.2763  0.1467 x18
Ir  0.0000  0.0000  0.5000 x3
Se  0.0347  0.2104  0.8880 x18
Se  0.0540  0.1980  0.3901 x18

no.,total magnetization (μB/cell),energy (eV/atom)
1,0.00,-6.907
2,0.01,-8.446
3,0.00,-8.156
4,5.29,-7.612
5,0.00,-8.271
6,27.22,-6.786